A plane-wave DFT calculation with PBE was carried out for an optimized crystal structure of SrIn2W.

Results
**Formation energy**: 0.855 eV per atom
**D(E_F)**: 2.25 states/eV/f.u.

Cell lengths 5.236, 5.236, 10.224 Å; angles 75.16, 75.16, 90.00 degrees
Site moments in Bohr magnetons follow the coordinates.
Positions (direct):
In 0.375 0.242 0.750  -0.04
W 0.000 0.000 0.000  1.54
In 0.875 0.008 0.750  -0.04
Sr 0.500 0.500 0.000  0.02
W 0.750 0.250 0.500  1.54
In 0.992 0.625 0.250  -0.04
Sr 0.250 0.750 0.500  0.01
In 0.758 0.125 0.250  -0.03